1.
MgSbO4: optimized geometry, GGA-PBE.

Summary:
* energy relative to the elements, uncorrected: -1.5548 eV/atom
* volume: 279 Å³/cell
* energy: -5.813 eV per atom

abc: 7.064 11.156 4.841
angles: 90.00 133.08 90.00
Space group C2/c (No. 15)
Symmetry-distinct sites (fractional):
Mg 0.000 0.163 0.250 (multiplicity 4)
Sb 0.000 0.413 0.750 (multiplicity 4)
O 0.200 0.295 0.171 (multiplicity 8)
O 0.224 0.450 0.650 (multiplicity 8)



2.
Mg2SbO: optimized geometry, GGA-PBE.

Summary:
* energy relative to the elements, uncorrected: -1.1828 eV/atom
* offset from the most stable computed form: 0.076 eV/atom
* volume: 204 Å³/cell
* energy: -4.250 eV per atom

abc: 3.3791 3.3791 20.5834
angles: 90.00 90.00 120.00
Space group R-3m (No. 166, hexagonal axes)
Symmetry-distinct sites (fractional):
Mg 0.0000 0.0000 0.2233 (multiplicity 6)
Sb 0.0000 0.0000 0.0000 (multiplicity 3)
O 0.0000 0.0000 0.5000 (multiplicity 3)



3.
MgSb2O6: optimized geometry, GGA-PBE.

Summary:
* energy relative to the elements, uncorrected: -1.7626 eV/atom
* volume: 210 Å³/cell
* energy: -6.161 eV per atom

abc: 4.728 4.728 9.384
angles: 90.00 90.00 90.00
Space group P4_2/mnm (No. 136)
Symmetry-distinct sites (fractional):
Mg 0.000 0.000 0.000 (multiplicity 2)
Sb 0.000 0.000 0.332 (multiplicity 4)
O 0.190 0.190 0.500 (multiplicity 4)
O 0.198 0.198 0.171 (multiplicity 8)



What is the energy in the first record? -5.813 eV per atom



Copy entry 1 word for word.
MgSbO4: optimized geometry, GGA-PBE.

Summary:
* energy relative to the elements, uncorrected: -1.5548 eV/atom
* volume: 279 Å³/cell
* energy: -5.813 eV per atom

abc: 7.064 11.156 4.841
angles: 90.00 133.08 90.00
Space group C2/c (No. 15)
Symmetry-distinct sites (fractional):
Mg 0.000 0.163 0.250 (multiplicity 4)
Sb 0.000 0.413 0.750 (multiplicity 4)
O 0.200 0.295 0.171 (multiplicity 8)
O 0.224 0.450 0.650 (multiplicity 8)



Which formula does entry 3 have? MgSb2O6